(1)
Sm8Ir3SI3 after structural relaxation, computed with PBE-GGA.

Results
Volume: 474 Å³/f.u.
Energy relative to the elements, uncorrected: -954.7 meV per atom
M_tot: 0.00 μB/cell
Electronic total energy: -5.8290 eV per atom
Space group: No. 166

Cell lengths 8.405, 8.402, 9.141 Å; angles 117.35, 90.02, 119.99 degrees
Element x y z (fractional)
Sm  0.762  0.048  0.310
Sm  0.271  0.542  0.313
Sm  0.285  0.048  0.310
Sm  0.715  0.952  0.690
Sm  0.238  0.475  0.690
Sm  0.729  0.458  0.687
Sm  0.238  0.952  0.690
Sm  0.762  0.525  0.310
I  0.000  0.500  0.000
I  0.500  0.500  0.000
I  0.000  0.000  0.000
Ir  0.500  0.000  0.500
Ir  0.500  0.500  0.500
Ir  0.000  0.500  0.500
S  0.000  0.000  0.500

---

(2)
Dy12Ho5Th after structural relaxation, computed with PBE-GGA.

Results
Volume: 565 Å³/f.u.
M_tot: 0.00 μB/cell
Formation energy: 0.4 eV/f.u.
Electronic total energy: -4.7279 eV per atom
Space group: No. 65

Cell lengths 15.010, 10.618, 5.011 Å; angles 90.00, 90.00, 45.03 degrees
Element x y z (fractional)
Dy  0.500  0.668  0.500
Dy  0.835  0.000  0.500
Dy  0.334  0.000  0.000
Dy  0.000  0.667  0.000
Dy  0.666  0.000  0.000
Dy  0.333  0.667  0.000
Dy  0.168  0.332  0.500
Dy  0.832  0.668  0.500
Dy  0.500  0.332  0.500
Dy  0.165  0.000  0.500
Dy  0.000  0.333  0.000
Dy  0.667  0.333  0.000
Ho  0.667  0.667  0.000
Ho  0.165  0.670  0.500
Ho  0.500  0.000  0.500
Ho  0.835  0.330  0.500
Ho  0.333  0.333  0.000
Th  0.000  0.000  0.000

---

Copy entry 1 word for word.
Sm8Ir3SI3 after structural relaxation, computed with PBE-GGA.

Results
Volume: 474 Å³/f.u.
Energy relative to the elements, uncorrected: -954.7 meV per atom
M_tot: 0.00 μB/cell
Electronic total energy: -5.8290 eV per atom
Space group: No. 166

Cell lengths 8.405, 8.402, 9.141 Å; angles 117.35, 90.02, 119.99 degrees
Element x y z (fractional)
Sm  0.762  0.048  0.310
Sm  0.271  0.542  0.313
Sm  0.285  0.048  0.310
Sm  0.715  0.952  0.690
Sm  0.238  0.475  0.690
Sm  0.729  0.458  0.687
Sm  0.238  0.952  0.690
Sm  0.762  0.525  0.310
I  0.000  0.500  0.000
I  0.500  0.500  0.000
I  0.000  0.000  0.000
Ir  0.500  0.000  0.500
Ir  0.500  0.500  0.500
Ir  0.000  0.500  0.500
S  0.000  0.000  0.500